## Mg2AuN (GGA-PBE)

Data for a relaxed Mg2AuN crystal.

Output
- Crystal system: trigonal
- ΔE_f (raw): -0.57 eV per atom
- Fermi-level density of states: 0.209 states/eV per atom
- Total magnetization: 0.0000 μB/atom

```
Mg2AuN
1.0
-2.532 0.347 -1.923
0.273 -0.605 -3.129
-2.461 -6.494 -0.593
Mg N Au
2 1 1
direct
0.281 0.281 0.156
0.719 0.719 0.844
0.000 0.000 0.000
0.500 0.500 0.500
```

=====

## MgAuN (GGA-PBE)

Data for a relaxed MgAuN crystal.

Output
- Crystal system: monoclinic
- ΔE_f (raw): -0.12 eV per atom
- Fermi-level density of states: 0.503 states/eV per atom
- Total magnetization: 0.0000 μB/atom

```
MgAuN
1.0
-1.486 -1.734 1.789
3.355 -2.324 0.533
-0.311 4.716 6.672
Au Mg N
2 2 2
direct
0.815 0.686 0.814
0.217 0.284 0.010
0.627 0.875 0.191
0.469 0.535 0.507
0.020 0.827 0.404
0.020 0.140 0.404
```

=====

## Mg4Au2N (GGA-PBE)

Data for a relaxed Mg4Au2N crystal.

Output
- Crystal system: tetragonal
- ΔE_f (raw): -0.52 eV per atom
- Fermi-level density of states: 0.350 states/eV per atom
- Total magnetization: 0.0000 μB/atom

```
Mg4Au2N
1.0
4.170 0.000 0.000
0.000 4.170 0.000
2.085 2.085 7.035
Mg N Au
4 1 2
direct
0.843 0.843 0.315
0.500 0.000 0.000
0.000 0.500 0.000
0.157 0.157 0.685
0.000 0.000 0.000
0.648 0.648 0.704
0.352 0.352 0.296
```

=====

## MgAuN (GGA-PBE)

Data for a relaxed MgAuN crystal.

Output
- Crystal system: orthorhombic
- ΔE_f (raw): 0.24 eV per atom
- Fermi-level density of states: 0.075 states/eV per atom
- Total magnetization: 0.0000 μB/atom

```
MgAuN
1.0
7.099 0.000 0.000
0.000 3.398 0.000
0.000 0.000 6.941
Mg Au N
4 4 4
direct
0.974 0.250 0.835
0.474 0.250 0.665
0.526 0.750 0.335
0.026 0.750 0.165
0.335 0.250 0.046
0.835 0.250 0.454
0.165 0.750 0.546
0.665 0.750 0.954
0.148 0.750 0.869
0.648 0.750 0.631
0.852 0.250 0.131
0.352 0.250 0.369
```

=====

## MgAuN3 (GGA-PBE)

Data for a relaxed MgAuN3 crystal.

Output
- Crystal system: cubic
- ΔE_f (raw): 1.90 eV per atom
- Fermi-level density of states: 0.342 states/eV per atom
- Total magnetization: 0.5832 μB/atom

```
MgAuN3
1.0
-0.036 3.080 2.665
-3.634 1.179 -1.411
-1.839 -2.390 2.738
N Au Mg
3 1 1
direct
0.000 0.500 0.000
0.500 0.000 0.000
0.000 0.000 0.500
0.000 0.000 0.000
0.500 0.500 0.500
```

=====

## MgAuN (GGA-PBE)

Data for a relaxed MgAuN crystal.

Output
- Crystal system: hexagonal
- ΔE_f (raw): 1.10 eV per atom
- Fermi-level density of states: 0.131 states/eV per atom
- Total magnetization: 0.6667 μB/atom

```
MgAuN
1.0
-2.079 3.240 2.769
3.800 -2.367 1.562
4.881 5.786 -3.105
Mg Au N
2 2 2
direct
0.000 0.000 0.250
0.000 0.000 0.750
0.667 0.333 0.750
0.333 0.667 0.250
0.000 0.000 0.500
0.000 0.000 0.000
```

=====

## Na2MgAuN (GGA-PBE)

Data for a relaxed Na2MgAuN crystal.

Output
- Crystal system: tetragonal
- ΔE_f (raw): 1.11 eV per atom
- Fermi-level density of states: 0.477 states/eV per atom
- Total magnetization: 0.3949 μB/atom

```
Na2MgAuN
1.0
-2.161 -1.341 5.457
4.084 -2.577 0.983
2.586 4.954 2.241
N Mg Na Au
1 1 2 1
direct
0.500 0.500 0.500
0.000 0.000 0.000
0.000 0.000 0.500
0.500 0.000 0.000
0.000 0.500 0.000
```

=====

## Mg2NiAuN (GGA-PBE)

Data for a relaxed Mg2NiAuN crystal.

Output
- Crystal system: tetragonal
- ΔE_f (raw): -0.45 eV per atom
- Fermi-level density of states: 0.469 states/eV per atom
- Total magnetization: 0.0013 μB/atom

```
Mg2NiAuN
1.0
4.378 0.000 0.000
0.000 4.378 0.000
0.000 0.000 3.679
Au Ni N Mg
1 1 1 2
direct
0.500 0.500 0.500
0.000 0.000 0.500
0.000 0.000 0.000
0.500 0.000 0.000
0.000 0.500 0.000
```

=====

## MgNi2AuN (GGA-PBE)

Data for a relaxed MgNi2AuN crystal.

Output
- Crystal system: tetragonal
- ΔE_f (raw): -0.22 eV per atom
- Fermi-level density of states: 0.705 states/eV per atom
- Total magnetization: 0.0000 μB/atom

```
MgNi2AuN
1.0
-2.813 2.127 1.508
-1.223 -3.035 2.001
2.522 1.081 3.182
N Ni Au Mg
1 2 1 1
direct
0.000 0.000 0.000
0.000 0.500 0.000
0.500 0.000 0.000
0.500 0.500 0.500
0.000 0.000 0.500
```

=====

## MgAuN2O (GGA-PBE)

Data for a relaxed MgAuN2O crystal.

Output
- Crystal system: tetragonal
- ΔE_f (raw): 1.16 eV per atom
- Fermi-level density of states: 0.237 states/eV per atom
- Total magnetization: 0.3931 μB/atom

```
MgAuN2O
1.0
4.024 0.000 0.000
0.000 4.024 0.000
0.000 0.000 4.230
O N Mg Au
1 2 1 1
direct
0.000 0.000 0.500
0.500 0.000 0.000
0.000 0.500 0.000
0.500 0.500 0.500
0.000 0.000 0.000
```

=====

## MgAuN2O (GGA-PBE)

Data for a relaxed MgAuN2O crystal.

Output
- Crystal system: tetragonal
- ΔE_f (raw): 1.37 eV per atom
- Fermi-level density of states: 1.156 states/eV per atom
- Total magnetization: 0.0000 μB/atom

```
MgAuN2O
1.0
4.043 0.000 0.000
0.000 4.043 0.000
0.000 0.000 3.791
N Mg O Au
2 1 1 1
direct
0.500 0.000 0.000
0.000 0.500 0.000
0.000 0.000 0.000
0.000 0.000 0.500
0.500 0.500 0.500
```

=====

## MgOsAu2N (GGA-PBE)

Data for a relaxed MgOsAu2N crystal.

Output
- Crystal system: tetragonal
- ΔE_f (raw): 0.41 eV per atom
- Fermi-level density of states: 0.558 states/eV per atom
- Total magnetization: 0.0000 μB/atom

```
MgOsAu2N
1.0
-0.041 -2.161 -4.762
2.508 -2.460 1.095
-3.826 -3.233 1.500
N Au Mg Os
1 2 1 1
direct
0.000 0.500 0.000
0.000 0.000 0.500
0.500 0.000 0.000
0.500 0.500 0.500
0.000 0.000 0.000
```